Record 1
VASP calculation (PBE-GGA) on crystalline NaU2F9 at its relaxed geometry.

E_form (uncorrected) (eV per atom): -3.489

a b c (Å): 6.7968 6.7968 8.6990
angles (deg): 78.84 78.84 62.49
With the nearest neighbours (Å) after each atom.
Fractional positions:
Na (0.5806, 0.3762, 0.4020)  6 F 2.38-2.48
Na (0.3762, 0.5806, 0.9020)  6 F 2.38-2.48
U (0.8911, 0.7066, 0.3121)  9 F 2.28-2.45
U (0.2930, 0.1074, 0.1895)  9 F 2.27-2.43
U (0.1074, 0.2930, 0.6895)  9 F 2.27-2.43
U (0.7066, 0.8911, 0.8121)  9 F 2.28-2.45
F (0.0838, 0.9158, 0.2506)  2 U 2.27-2.28
F (0.9158, 0.0838, 0.7506)  2 U 2.27-2.28
F (0.9198, 0.3766, 0.2409)  2 U 2.35-2.36, 1 Na 2.46, 2 F 2.53-2.57
F (0.6165, 0.0843, 0.2696)  2 U 2.36-2.38, 1 Na 2.38, 1 F 2.53
F (0.0843, 0.6165, 0.7696)  2 U 2.36-2.38, 1 Na 2.38, 1 F 2.53
F (0.3766, 0.9198, 0.7409)  2 U 2.35-2.36, 1 Na 2.46, 2 F 2.53-2.57
F (0.1816, 0.5256, 0.4689)  2 U 2.33-2.37, 1 Na 2.41, 1 F 2.59
F (0.4669, 0.8222, 0.0274)  2 U 2.33-2.36, 1 Na 2.48, 3 F 2.57-2.59
F (0.8222, 0.4669, 0.5274)  2 U 2.33-2.36, 1 Na 2.48, 3 F 2.57-2.59
F (0.5256, 0.1816, 0.9689)  2 U 2.33-2.37, 1 Na 2.41, 1 F 2.59
F (0.8729, 0.7870, 0.0451)  2 U 2.29-2.34
F (0.2207, 0.1258, 0.4551)  2 U 2.28-2.35
F (0.1258, 0.2207, 0.9551)  2 U 2.28-2.35
F (0.7870, 0.8729, 0.5451)  2 U 2.29-2.34
F (0.5359, 0.7476, 0.3205)  2 U 2.29-2.43, 1 Na 2.38, 1 F 2.53
F (0.2471, 0.4715, 0.1694)  2 U 2.32-2.45, 1 Na 2.42, 1 F 2.53
F (0.4715, 0.2471, 0.6694)  2 U 2.32-2.45, 1 Na 2.42, 1 F 2.53
F (0.7476, 0.5359, 0.8205)  2 U 2.29-2.43, 1 Na 2.38, 1 F 2.53


Record 2
VASP calculation (PBE-GGA) on crystalline Na2UF6 at its relaxed geometry.

E_form (uncorrected) (eV per atom): -3.279

a b c (Å): 6.7617 6.7617 6.9930
angles (deg): 80.72 80.72 120.73
With the nearest neighbours (Å) after each atom.
Fractional positions:
Na (0.0856, 0.9144, 0.7500)  8 F 2.43-2.50
Na (0.7553, 0.2447, 0.7500)  8 F 2.46-2.49
Na (0.9144, 0.0856, 0.2500)  8 F 2.43-2.50
Na (0.2447, 0.7553, 0.2500)  8 F 2.46-2.49
U (0.4114, 0.5886, 0.7500)  8 F 2.20-2.43
U (0.5886, 0.4114, 0.2500)  8 F 2.20-2.43
F (0.7669, 0.9286, 0.6280)  1 U 2.20, 1 Na 2.46
F (0.1492, 0.6326, 0.6213)  1 U 2.24, 3 Na 2.43-2.47
F (0.5280, 0.6813, 0.3839)  2 U 2.36-2.43, 2 Na 2.49-2.50, 1 F 2.52
F (0.3187, 0.4720, 0.1161)  2 U 2.36-2.43, 2 Na 2.49-2.50, 1 F 2.52
F (0.4720, 0.3187, 0.6161)  2 U 2.36-2.43, 2 Na 2.49-2.50, 1 F 2.52
F (0.6326, 0.1492, 0.1213)  1 U 2.24, 3 Na 2.43-2.47
F (0.8508, 0.3674, 0.3787)  1 U 2.24, 3 Na 2.43-2.47
F (0.0714, 0.2331, 0.8720)  1 U 2.20, 1 Na 2.46
F (0.2331, 0.0714, 0.3720)  1 U 2.20, 1 Na 2.46
F (0.9286, 0.7669, 0.1280)  1 U 2.20, 1 Na 2.46
F (0.3674, 0.8508, 0.8787)  1 U 2.24, 3 Na 2.43-2.47
F (0.6813, 0.5280, 0.8839)  2 U 2.36-2.43, 2 Na 2.49-2.50, 1 F 2.52


Record 3
VASP calculation (PBE-GGA) on crystalline Na2UF8 at its relaxed geometry.

E_form (uncorrected) (eV per atom): -3.141
Energy above the lowest structure with this stoichiometry (meV/atom): 0

a b c (Å): 6.6266 6.6266 6.6266
angles (deg): 129.87 129.87 73.61
With the nearest neighbours (Å) after each atom.
Fractional positions:
Na (0.7500, 0.2500, 0.5000)  8 F 2.45
Na (0.2500, 0.7500, 0.5000)  8 F 2.45
U (0.0000, 0.0000, 0.0000)  8 F 2.14
F (0.1014, 0.1014, 0.4377)  1 U 2.14
F (0.6637, 0.6637, 0.5623)  1 U 2.14
F (0.1014, 0.6637, 0.0000)  1 U 2.14
F (0.6637, 0.1014, 0.0000)  1 U 2.14
F (0.8986, 0.8986, 0.5623)  1 U 2.14
F (0.3363, 0.3363, 0.4377)  1 U 2.14
F (0.8986, 0.3363, 0.0000)  1 U 2.14
F (0.3363, 0.8986, 0.0000)  1 U 2.14


Record 4
VASP calculation (PBE-GGA) on crystalline Na2UF5 at its relaxed geometry.

E_form (uncorrected) (eV per atom): -3.019

a b c (Å): 6.6246 7.2152 10.0803
angles (deg): 90.00 90.00 90.00
With the nearest neighbours (Å) after each atom.
Fractional positions:
Na (0.5139, 0.4897, 0.8254)  6 F 2.36-2.56
Na (0.4861, 0.5103, 0.1746)  6 F 2.36-2.56
Na (0.0139, 0.5103, 0.6746)  6 F 2.36-2.56
Na (0.4861, 0.9897, 0.1746)  6 F 2.36-2.56
Na (0.9861, 0.4897, 0.3254)  6 F 2.36-2.56
Na (0.5139, 0.0103, 0.8254)  6 F 2.36-2.56
Na (0.9861, 0.0103, 0.3254)  6 F 2.36-2.56
Na (0.0139, 0.9897, 0.6746)  6 F 2.36-2.56
U (0.4176, 0.2500, 0.5026)  7 F 2.31-2.39
U (0.5824, 0.7500, 0.4974)  7 F 2.31-2.39
U (0.9176, 0.7500, 0.9974)  7 F 2.31-2.39
U (0.0824, 0.2500, 0.0026)  7 F 2.31-2.39
F (0.0607, 0.2500, 0.5057)  1 U 2.36, 4 Na 2.55-2.56
F (0.9393, 0.7500, 0.4943)  1 U 2.36, 4 Na 2.55-2.56
F (0.5607, 0.7500, 0.9943)  1 U 2.36, 4 Na 2.55-2.56
F (0.4393, 0.2500, 0.0057)  1 U 2.36, 4 Na 2.55-2.56
F (0.3527, 0.9584, 0.6037)  2 Na 2.37-2.50, 2 U 2.38-2.39
F (0.6473, 0.0416, 0.3963)  2 Na 2.37-2.50, 2 U 2.38-2.39
F (0.8527, 0.0416, 0.8963)  2 Na 2.37-2.50, 2 U 2.38-2.39
F (0.6473, 0.4584, 0.3963)  2 Na 2.37-2.50, 2 U 2.38-2.39
F (0.1473, 0.9584, 0.1037)  2 Na 2.37-2.50, 2 U 2.38-2.39
F (0.3527, 0.5416, 0.6037)  2 Na 2.37-2.50, 2 U 2.38-2.39
F (0.1473, 0.5416, 0.1037)  2 Na 2.37-2.50, 2 U 2.38-2.39
F (0.8527, 0.4584, 0.8963)  2 Na 2.37-2.50, 2 U 2.38-2.39
F (0.1985, 0.2500, 0.7820)  1 U 2.35, 2 Na 2.49
F (0.8015, 0.7500, 0.2180)  1 U 2.35, 2 Na 2.49
F (0.6985, 0.7500, 0.7180)  1 U 2.35, 2 Na 2.49
F (0.3015, 0.2500, 0.2820)  1 U 2.35, 2 Na 2.49
F (0.6288, 0.2500, 0.6849)  1 U 2.31, 2 Na 2.36
F (0.3712, 0.7500, 0.3151)  1 U 2.31, 2 Na 2.36
F (0.1288, 0.7500, 0.8151)  1 U 2.31, 2 Na 2.36
F (0.8712, 0.2500, 0.1849)  1 U 2.31, 2 Na 2.36


Record 5
VASP calculation (PBE-GGA) on crystalline Na2UF6 at its relaxed geometry.

E_form (uncorrected) (eV per atom): -3.287

a b c (Å): 6.6598 6.6598 6.6598
angles (deg): 144.27 130.21 62.78
With the nearest neighbours (Å) after each atom.
Fractional positions:
Na (0.6695, 0.6695, 0.0000)  8 F 2.44-2.50
Na (0.3305, 0.3305, 0.0000)  8 F 2.44-2.50
U (0.0000, 0.0000, 0.0000)  8 F 2.21-2.40
F (0.9091, 0.1530, 0.7560)  1 U 2.21, 1 Na 2.44
F (0.0909, 0.8470, 0.2440)  1 U 2.21, 1 Na 2.44
F (0.6030, 0.8470, 0.7560)  1 U 2.21, 1 Na 2.44
F (0.2240, 0.5000, 0.7240)  2 U 2.40, 2 Na 2.47, 1 F 2.51
F (0.3970, 0.1530, 0.2440)  1 U 2.21, 1 Na 2.44
F (0.7760, 0.5000, 0.2760)  2 U 2.40, 2 Na 2.47, 1 F 2.51


Record 6
VASP calculation (PBE-GGA) on crystalline Na2UF6 at its relaxed geometry.

E_form (uncorrected) (eV per atom): -3.271

a b c (Å): 4.0962 6.2634 6.6291
angles (deg): 68.04 72.00 70.91
With the nearest neighbours (Å) after each atom.
Fractional positions:
Na (0.1784, 0.7650, 0.8783)  6 F 2.26-2.46
Na (0.8216, 0.2350, 0.1217)  6 F 2.26-2.46
U (0.0000, 0.5000, 0.5000)  8 F 2.19-2.38
F (0.7867, 0.6102, 0.8164)  1 U 2.28, 3 Na 2.32-2.46
F (0.2133, 0.3898, 0.1836)  1 U 2.28, 3 Na 2.32-2.46
F (0.9697, 0.8341, 0.2264)  1 U 2.19, 2 Na 2.26-2.35
F (0.3860, 0.6911, 0.5368)  1 Na 2.32, 2 U 2.38, 1 F 2.44
F (0.0303, 0.1659, 0.7736)  1 U 2.19, 2 Na 2.26-2.35
F (0.6140, 0.3089, 0.4632)  1 Na 2.32, 2 U 2.38, 1 F 2.44